Computed, not measured: a relaxed structure of Sr5Co at the PBE level of DFT.

Lattice parameters (Å, degrees): 7.570 7.570 7.570 60.00 60.00 60.00
Positions (direct):
Sr: 0.000 0.000 0.000
Sr: 0.126 0.625 0.625
Sr: 0.625 0.126 0.625
Sr: 0.625 0.625 0.126
Sr: 0.625 0.625 0.625
Co: 0.250 0.250 0.250

* SG: F-43m
* energy above the most stable polymorph in this dataset: 0.379 eV per atom
* energy of formation from the pure elements: 0.744 eV per atom